Below is crystalline CaMo2Ir at its relaxed geometry, with properties calculated at the PBE-GGA level.

Results
VASP energy = -7.72 eV per atom

a b c (Å): 2.804 4.721 5.292
angles (deg): 90.00 101.92 90.00
Fractional positions:
Ca1 0.000 0.000 0.000
Mo1 0.260 0.500 0.744
Mo2 0.740 0.500 0.256
Ir1 0.500 0.000 0.500

Below is crystalline CaMo2Ir at its relaxed geometry, with properties calculated at the PBE-GGA level.

Results
VASP energy = -7.65 eV per atom

a b c (Å): 5.315 9.429 2.753
angles (deg): 90.00 90.00 90.00
Fractional positions:
Ca1 0.000 0.000 0.000
Ca2 0.500 0.500 0.000
Mo1 0.250 0.250 0.500
Mo2 0.250 0.750 0.500
Mo3 0.750 0.250 0.500
Mo4 0.750 0.750 0.500
Ir1 0.000 0.500 0.000
Ir2 0.500 0.000 0.000

Below is crystalline CaMo2Ir at its relaxed geometry, with properties calculated at the PBE-GGA level.

Results
VASP energy = -7.67 eV per atom

a b c (Å): 3.857 3.857 9.404
angles (deg): 90.00 90.00 90.00
Fractional positions:
Ca1 0.000 0.000 0.000
Ca2 0.500 0.500 0.500
Mo1 0.000 0.500 0.250
Mo2 0.000 0.500 0.750
Mo3 0.500 0.000 0.250
Mo4 0.500 0.000 0.750
Ir1 0.000 0.000 0.500
Ir2 0.500 0.500 0.000

Going through the records in order, we get relative energy among the computed polymorphs values of 162, 238, 221 meV per atom.
Going through the records in order, we get total magnetization values of 0.000, 0.000, 0.000 μB/atom.